# Na23Sr6Ca

A relaxed structure of Na23Sr6Ca (GGA-PBE, Alexandria via LeMat-Bulk).

Calculated values
E: -1.370 eV/atom
Energy relative to the elements: 0.0441 eV/atom
D(E_F): 21.5 states/eV per cell
Crystal system: cubic

abc: 12.018 12.018 12.018
angles: 60.00 60.00 60.00
Fractional coordinates of all 30 atoms:
Na1 0.000 0.000 0.000
Na2 0.000 0.000 0.500
Na3 0.000 0.500 0.000
Na4 0.000 0.500 0.500
Na5 0.010 0.663 0.663
Na6 0.121 0.121 0.121
Na7 0.121 0.121 0.638
Na8 0.121 0.638 0.121
Na9 0.337 0.337 0.337
Na10 0.337 0.337 0.990
Na11 0.337 0.990 0.337
Na12 0.362 0.879 0.879
Na13 0.500 0.000 0.000
Na14 0.500 0.000 0.500
Na15 0.500 0.500 0.000
Na16 0.638 0.121 0.121
Na17 0.663 0.010 0.663
Na18 0.663 0.663 0.010
Na19 0.663 0.663 0.663
Na20 0.879 0.362 0.879
Na21 0.879 0.879 0.362
Na22 0.879 0.879 0.879
Na23 0.990 0.337 0.337
Sr1 0.280 0.280 0.720
Sr2 0.280 0.720 0.280
Sr3 0.280 0.720 0.720
Sr4 0.720 0.280 0.280
Sr5 0.720 0.280 0.720
Sr6 0.720 0.720 0.280
Ca1 0.500 0.500 0.500